# 1
{"formula": "VGaAg3", "functional": "GGA-PBE", "state": "optimized geometry", "spacegroup": "Pm-3m (221)", "lattice_angstrom": [[-3.750, 0.639, -2.939], [-2.288, -3.655, 2.125], [-1.952, 3.056, 3.155]], "species": ["Ag", "Ag", "Ag", "Ga", "V"], "fractional_positions": [[0.000, 0.500, 0.000], [0.000, 0.000, 0.500], [0.500, 0.000, 0.000], [0.000, 0.000, 0.000], [0.500, 0.500, 0.500]]}

=====

# 2
{"formula": "ZrCuRe2", "functional": "GGA-PBE", "state": "optimized geometry", "spacegroup": "Fm-3m (225)", "lattice_angstrom": [[2.391, 2.194, 3.091], [-2.011, 1.591, 3.676], [0.789, -1.895, 3.984]], "species": ["Re", "Re", "Cu", "Zr"], "fractional_positions": [[0.250, 0.250, 0.250], [0.750, 0.750, 0.750], [0.000, 0.000, 0.000], [0.500, 0.500, 0.500]]}

=====

Calculated formation energy list, top to bottom, in eV/f.u.: 3.91 1.88
Offset from the most stable computed form list, top to bottom, in meV per atom: 0 449